No. 1
VASP calculation (PBE) on InCuP2 after structural relaxation.

For the volume, the calculation gives 87 Å³/f.u. The value obtained for the density of states at the Fermi level is 8.917 states/eV/cell. As for the total energy: -4.318 eV/atom. The calculation puts the magnetic moment at 0.000 μB/cell. The calculation puts the energy of formation from the pure elements at 95 meV/atom.

It has space group I-42d (No. 122), with a = 5.553 Å, b = 5.553 Å, c = 11.228 Å, α = 90.00°, β = 90.00° and γ = 90.00°. The inequivalent atoms are In at (0.000, 0.000, 0.000), Cu at (0.000, 0.000, 0.500) and P at (0.199, 0.250, 0.625).

---

No. 2
VASP calculation (PBE) on ThScBi2N after structural relaxation.

For the volume, the calculation gives 133 Å³/f.u. The value obtained for the density of states at the Fermi level is 5.322 states/eV/cell. As for the total energy: -6.868 eV/atom. The calculation puts the magnetic moment at 0.000 μB/cell. The energy relative to the elements, uncorrected comes out at -0.9002 eV/atom.

It has space group P4/nmm (No. 129, origin choice 2), with a = 4.120 Å, b = 4.120 Å, c = 15.649 Å, α = 90.00°, β = 90.00° and γ = 90.00°. The inequivalent atoms are Th at (0.250, 0.250, 0.072), Sc at (0.250, 0.250, 0.580), Bi at (0.250, 0.250, 0.382), Bi at (0.250, 0.250, 0.775) and N at (0.250, 0.750, 0.000).

---

No. 3
VASP calculation (PBE) on PmScNiAs after structural relaxation.

For the volume, the calculation gives 81 Å³/f.u. The value obtained for the density of states at the Fermi level is 19.351 states/eV/cell. As for the total energy: -5.954 eV/atom. The calculation puts the magnetic moment at 1.995 μB/cell. The calculation puts the energy of formation from the pure elements at -576 meV/atom.

It has space group F-43m (No. 216), with a = 6.859 Å, b = 6.859 Å, c = 6.859 Å, α = 90.00°, β = 90.00° and γ = 90.00°. The inequivalent atoms are Pm at (0.000, 0.000, 0.000), Sc at (0.000, 0.000, 0.500), Ni at (0.250, 0.250, 0.750) and As at (0.250, 0.250, 0.250).

---

No. 4
VASP calculation (PBE) on ScAg2Hg2 after structural relaxation.

For the volume, the calculation gives 105 Å³/f.u. The value obtained for the density of states at the Fermi level is 6.762 states/eV/cell. As for the total energy: -2.523 eV/atom. The calculation puts the magnetic moment at 1.295 μB/cell. For the polymorph energy (0 for the lowest one), the calculation gives 164 meV per atom. The calculation puts the energy of formation from the pure elements at 4 meV/atom.

It has space group P4/mbm (No. 127), with a = 7.944 Å, b = 7.944 Å, c = 3.333 Å, α = 90.00°, β = 90.00° and γ = 90.00°. The inequivalent atoms are Sc at (0.000, 0.000, 0.000), Ag at (0.126, 0.374, 0.000) and Hg at (0.174, 0.674, 0.500).